Record 1
Ti2Tl2Te6Au (GGA-PBE, relaxed); symmetry = No. 12; formation energy without anion corrections = -399 meV per atom; final energy = -47.04 eV/cell
1.0
3.420 -6.480 0.000
3.420 6.480 0.000
-2.576 0.000 7.862
Ti Tl Te Au
2 2 6 1
direct
0.186 0.814 0.000
0.814 0.186 0.000
0.355 0.645 0.500
0.645 0.355 0.500
0.059 0.417 0.785
0.218 0.218 0.168
0.417 0.059 0.785
0.583 0.941 0.215
0.782 0.782 0.832
0.941 0.583 0.215
0.500 0.500 0.000

---

Record 2
La2MgZn10 (GGA-PBE, relaxed); symmetry = No. 14; energy of formation = -198 meV/atom; final energy = -53.53 eV/cell
1.0
5.472 0.000 0.000
0.000 7.249 0.000
-5.409 0.000 12.724
La Mg Zn
4 2 20
direct
0.088 0.232 0.103
0.088 0.268 0.603
0.912 0.732 0.397
0.912 0.768 0.897
0.500 0.000 0.500
0.500 0.500 0.000
0.079 0.185 0.348
0.079 0.315 0.848
0.294 0.602 0.786
0.294 0.898 0.286
0.318 0.504 0.306
0.318 0.996 0.806
0.384 0.690 0.148
0.384 0.810 0.648
0.469 0.157 0.991
0.469 0.343 0.491
0.531 0.657 0.509
0.531 0.843 0.009
0.616 0.190 0.352
0.616 0.310 0.852
0.682 0.004 0.194
0.682 0.496 0.694
0.706 0.102 0.714
0.706 0.398 0.214
0.921 0.685 0.152
0.921 0.815 0.652

---

Record 3
LaTb5SmTh2 (GGA-PBE, relaxed); symmetry = No. 140; energy of formation = 314 meV/atom; final energy = -89.63 eV/cell
1.0
-4.464 4.464 7.690
4.464 -4.464 7.690
4.464 4.464 -7.690
La Tb Sm Th
2 10 2 4
direct
0.250 0.250 0.000
0.750 0.750 0.000
0.000 0.000 0.000
0.070 0.570 0.912
0.158 0.070 0.500
0.342 0.842 0.912
0.430 0.342 0.500
0.500 0.500 0.000
0.570 0.658 0.500
0.658 0.158 0.088
0.842 0.930 0.500
0.930 0.430 0.088
0.250 0.750 0.500
0.750 0.250 0.500
0.119 0.381 0.500
0.381 0.881 0.262
0.619 0.119 0.738
0.881 0.619 0.500

---

Record 4
EuBiPb4 (GGA-PBE, relaxed); symmetry = No. 216; energy of formation = -110 meV/atom; final energy = -29.65 eV/cell
1.0
0.000 4.618 4.618
4.618 0.000 4.618
4.618 4.618 0.000
Eu Bi Pb
1 1 4
direct
0.000 0.000 0.000
0.250 0.250 0.250
0.125 0.625 0.625
0.625 0.125 0.625
0.625 0.625 0.125
0.625 0.625 0.625

---

Record 5
Ti2AlAg2S6 (GGA-PBE, relaxed); symmetry = No. 12; formation energy without anion corrections = -895 meV per atom; final energy = -59.84 eV/cell
1.0
3.078 -5.292 0.000
3.078 5.292 0.000
-1.917 0.000 7.356
Ti Al Ag S
2 1 2 6
direct
0.149 0.851 0.000
0.851 0.149 0.000
0.500 0.500 0.000
0.346 0.654 0.500
0.654 0.346 0.500
0.113 0.113 0.806
0.230 0.562 0.177
0.438 0.770 0.823
0.562 0.230 0.177
0.770 0.438 0.823
0.887 0.887 0.194

---

Record 6
CePrBr6 (GGA-PBE, relaxed); symmetry = No. 148; excess energy over the best structure of this formula in the dataset = 0.8 kJ per mole of atoms; formation energy without anion corrections = -1801 meV per atom; final energy = -35.16 eV/cell
1.0
3.650 2.107 6.721
-3.650 2.107 6.721
0.000 -4.214 6.721
Ce Pr Br
1 1 6
direct
0.000 0.000 0.000
0.500 0.500 0.500
0.091 0.751 0.408
0.249 0.592 0.909
0.408 0.091 0.751
0.592 0.909 0.249
0.751 0.408 0.091
0.909 0.249 0.592

---

Record 7
Ba3LaMg (GGA-PBE, relaxed); symmetry = No. 221; energy of formation = 589 meV/atom; final energy = -9.34 eV/cell
1.0
6.484 0.000 0.000
0.000 6.484 0.000
0.000 0.000 6.484
Ba La Mg
3 1 1
direct
0.000 0.000 0.500
0.000 0.500 0.000
0.500 0.000 0.000
0.000 0.000 0.000
0.500 0.500 0.500

---

Record 8
Tb8Pm2Sc3 (GGA-PBE, relaxed); symmetry = No. 12; excess energy over the best structure of this formula in the dataset = 6.3 kJ per mole of atoms; energy of formation = 251 meV/atom; final energy = -62.27 eV/cell
1.0
7.381 -4.362 0.000
7.381 4.362 0.000
-0.936 0.000 6.512
Tb Pm Sc
8 2 3
direct
0.074 0.708 0.075
0.089 0.089 0.389
0.292 0.926 0.925
0.311 0.311 0.706
0.689 0.689 0.294
0.708 0.074 0.075
0.911 0.911 0.611
0.926 0.292 0.925
0.297 0.297 0.215
0.703 0.703 0.785
0.337 0.663 0.500
0.500 0.500 0.000
0.663 0.337 0.500